No. 1
VASP calculation (PBE) on Pr2Cu3Si after structural relaxation.

Calculated values
uncorrected formation energy	-0.359	eV per atom
calculated density	6.66	g/cm3
calculated volume	20.8	Å³/atom

a = 4.064 Å, b = 4.158 Å, c = 7.384 Å
α = 90.00°, β = 90.00°, γ = 90.00°
Space group Pmm2 (No. 25)
One atom of each set of equivalent atoms:
Pr: 0.000 0.000 0.000 [1 per cell]
Pr: 0.000 0.500 0.488 [1 per cell]
Cu: 0.500 0.000 0.649 [1 per cell]
Cu: 0.500 0.500 0.169 [1 per cell]
Cu: 0.500 0.500 0.831 [1 per cell]
Si: 0.500 0.000 0.323 [1 per cell]

=====

No. 2
VASP calculation (PBE) on RbNa9Hg2 after structural relaxation.

Calculated values
calculated density	2.66	g/cm3
DFT formation energy	-1.1	eV/f.u.
calculated volume	36.0	Å³/atom
distance to the lowest polymorph of the same formula	0.0	kJ/mol of formula units

a = 13.926 Å, b = 13.926 Å, c = 8.920 Å
α = 90.00°, β = 90.00°, γ = 90.00°
Space group I4_1/amd (No. 141, origin choice 2)
One atom of each set of equivalent atoms:
Rb: 0.000 0.250 0.375 [4 per cell]
Na: 0.000 0.250 0.875 [4 per cell]
Na: 0.123 0.054 0.693 [32 per cell]
Hg: 0.000 0.000 0.000 [8 per cell]

=====

No. 3
VASP calculation (PBE) on Fe3NiRh12 after structural relaxation.

Calculated values
calculated density	11.03	g/cm3
DFT formation energy	-0.4	eV/f.u.
calculated volume	13.7	Å³/atom

a = 3.808 Å, b = 3.808 Å, c = 15.162 Å
α = 90.00°, β = 90.00°, γ = 90.00°
Space group P4/mmm (No. 123)
One atom of each set of equivalent atoms:
Fe: 0.000 0.000 0.000 [1 per cell]
Fe: 0.000 0.000 0.251 [2 per cell]
Ni: 0.000 0.000 0.500 [1 per cell]
Rh: 0.000 0.500 0.125 [4 per cell]
Rh: 0.000 0.500 0.376 [4 per cell]
Rh: 0.500 0.500 0.000 [1 per cell]
Rh: 0.500 0.500 0.250 [2 per cell]
Rh: 0.500 0.500 0.500 [1 per cell]

=====

No. 4
VASP calculation (PBE) on TlCu2Au2 after structural relaxation.

Calculated values
calculated density	13.61	g/cm3
DFT formation energy	0.4	eV/f.u.
calculated volume	17.7	Å³/atom
distance to the lowest polymorph of the same formula	9.2	kJ/mol of formula units

a = 7.536 Å, b = 7.536 Å, c = 3.118 Å
α = 90.00°, β = 90.00°, γ = 90.00°
Space group P4/mbm (No. 127)
One atom of each set of equivalent atoms:
Tl: 0.000 0.000 0.000 [2 per cell]
Cu: 0.156 0.344 0.500 [4 per cell]
Au: 0.138 0.638 0.000 [4 per cell]

=====

No. 5
VASP calculation (PBE) on Na2SnPSe5 after structural relaxation.

Calculated values
uncorrected formation energy	-0.506	eV per atom
calculated density	4.08	g/cm3
calculated volume	26.7	Å³/atom

a = 4.061 Å, b = 18.669 Å, c = 12.686 Å
α = 90.00°, β = 90.00°, γ = 90.00°
Space group Cmc2_1 (No. 36)
One atom of each set of equivalent atoms:
Na: 0.000 0.105 0.000 [4 per cell]
Na: 0.000 0.117 0.324 [4 per cell]
Sn: 0.000 0.223 0.702 [4 per cell]
P: 0.000 0.430 0.082 [4 per cell]
Se: 0.000 0.050 0.674 [4 per cell]
Se: 0.000 0.293 0.341 [4 per cell]
Se: 0.000 0.311 0.043 [4 per cell]
Se: 0.000 0.356 0.660 [4 per cell]
Se: 0.000 0.489 0.933 [4 per cell]

=====

No. 6
VASP calculation (PBE) on Nb2AsP after structural relaxation.

Calculated values
calculated density	7.58	g/cm3
DFT formation energy	-2.1	eV/f.u.
calculated volume	16.0	Å³/atom

a = 6.346 Å, b = 6.346 Å, c = 6.346 Å
α = 90.00°, β = 90.00°, γ = 90.00°
Space group Fm-3m (No. 225)
One atom of each set of equivalent atoms:
Nb: 0.250 0.250 0.250 [8 per cell]
As: 0.000 0.000 0.000 [4 per cell]
P: 0.000 0.000 0.500 [4 per cell]